Computed, not measured: a geometry-optimized Ba2ZnCoC structure at the GGA-PBE level of DFT.

ρ   5.34 g/cm3
Energy of formation from the pure elements   0.15 eV per atom
DOS at the Fermi energy   0.747 states/eV per atom
DFT total energy   -4.14 eV per atom
Magnetic moment   0.00 μB per formula unit

The structure in POSCAR format:
```
Ba2ZnCoC
1.0
5.892 0.000 0.000
0.000 5.892 0.000
0.000 0.000 3.685
Zn Ba C Co
1 2 1 1
direct
0.500 0.500 0.500
0.500 0.000 0.000
0.000 0.500 0.000
0.000 0.000 0.000
0.000 0.000 0.500
```